This record from Alexandria describes a relaxed structure of RbSiH3. The functional is PBE.

Results
**E_tot**: -34.31 eV per cell
**M_tot**: 0.0 μB/f.u.

Lattice parameters (Å, degrees): 8.0672 5.4343 4.9787 90.00 115.99 90.00
Space group Cm (No. 8)
One atom of each set of equivalent atoms:
1 Rb 0.0000 0.0000 0.0000
2 Si 0.4902 0.0000 0.4942
3 H 0.0063 0.5000 0.8149
4 H 0.1348 0.2929 0.5641


This record from Alexandria describes a relaxed structure of FeRe2Rh. The functional is PBE.

Results
**M_tot**: 2.6 μB/f.u.
**Distance to the lowest polymorph of the same formula**: 233.1 meV per atom
**E_form**: 0.2244 eV per atom

Lattice parameters (Å, degrees): 6.1161 6.1161 6.1161 90.00 90.00 90.00
Space group F-43m (No. 216)
One atom of each set of equivalent atoms:
1 Fe 0.0000 0.0000 0.0000
2 Re 0.0000 0.0000 0.5000
3 Re 0.2500 0.2500 0.7500
4 Rh 0.2500 0.2500 0.2500


This record from Alexandria describes a relaxed structure of AlIrCl4. The functional is PBE.

Results
**M_tot**: 4.0 μB/f.u.
**Formation energy from raw total energies**: 1.232 eV per atom

Lattice parameters (Å, degrees): 8.1918 8.1918 8.1918 90.00 90.00 90.00
Space group F-43m (No. 216)
One atom of each set of equivalent atoms:
1 Al 0.0000 0.0000 0.0000
2 Ir 0.2500 0.2500 0.2500
3 Cl 0.1237 0.1237 0.6237


This record from Alexandria describes a relaxed structure of MnCoIr2. The functional is PBE.

Results
**M_tot**: 1.6 μB/f.u.
**E_form**: -0.0100 eV per atom

Lattice parameters (Å, degrees): 3.9634 2.6596 9.6362 90.00 90.00 90.00
Space group Amm2 (No. 38)
One atom of each set of equivalent atoms:
1 Mn 0.0000 0.0000 0.0000
2 Co 0.5000 0.0000 0.1315
3 Ir 0.0000 0.0000 0.7340
4 Ir 0.5000 0.0000 0.3964


This record from Alexandria describes a relaxed structure of LiHo2Pu. The functional is PBE.

Results
**M_tot**: 6.2 μB/f.u.
**Distance to the lowest polymorph of the same formula**: 0.0 meV per atom
**E_form**: 0.1532 eV per atom

Lattice parameters (Å, degrees): 3.4496 3.4496 9.1459 90.00 90.00 90.00
Space group P4/mmm (No. 123)
One atom of each set of equivalent atoms:
1 Li 0.0000 0.0000 0.0000
2 Ho 0.5000 0.5000 0.2372
3 Pu 0.0000 0.0000 0.5000


This record from Alexandria describes a relaxed structure of Zr2NbIrCl. The functional is PBE.

Results
**M_tot**: 0.8 μB/f.u.
**Formation energy from raw total energies**: 0.436 eV per atom

Lattice parameters (Å, degrees): 5.1880 5.1880 4.8481 90.00 90.00 90.00
Space group P4/mmm (No. 123)
One atom of each set of equivalent atoms:
1 Zr 0.0000 0.5000 0.0000
2 Nb 0.0000 0.0000 0.5000
3 Ir 0.0000 0.0000 0.0000
4 Cl 0.5000 0.5000 0.5000


This record from Alexandria describes a relaxed structure of LiSc2AuN. The functional is PBE.

Results
**M_tot**: 0.0 μB/f.u.
**Formation energy from raw total energies**: -0.992 eV per atom

Lattice parameters (Å, degrees): 4.3987 4.3987 4.0367 90.00 90.00 90.00
Space group P4/mmm (No. 123)
One atom of each set of equivalent atoms:
1 Li 0.0000 0.0000 0.0000
2 Sc 0.0000 0.5000 0.5000
3 Au 0.5000 0.5000 0.0000
4 N 0.0000 0.0000 0.5000


This record from Alexandria describes a relaxed structure of Na3CeF6. The functional is PBE.

Results
**M_tot**: 1.0 μB/f.u.
**Distance to the lowest polymorph of the same formula**: 4.8 meV per atom
**Formation energy from raw total energies**: -3.203 eV per atom

Lattice parameters (Å, degrees): 5.9907 6.0020 10.4556 90.00 123.15 90.00
Space group P2_1/c (No. 14)
One atom of each set of equivalent atoms:
1 Na 0.0000 0.0000 0.0000
2 Na 0.2156 0.0453 0.7229
3 Ce 0.5000 0.0000 0.5000
4 F 0.1230 0.1746 0.4532
5 F 0.2183 0.6935 0.4000
6 F 0.4052 0.1013 0.2616


This record from Alexandria describes a relaxed structure of TaMnPb4. The functional is PBE.

Results
**M_tot**: 2.2 μB/f.u.
**E_form**: 1.0974 eV per atom

Lattice parameters (Å, degrees): 8.8311 8.8311 8.8311 90.00 90.00 90.00
Space group F-43m (No. 216)
One atom of each set of equivalent atoms:
1 Ta 0.0000 0.0000 0.0000
2 Mn 0.2500 0.2500 0.7500
3 Pb 0.1255 0.1255 0.3745


This record from Alexandria describes a relaxed structure of Pr12Tm7Th. The functional is PBE.

Results
**M_tot**: 0.0 μB/f.u.
**Distance to the lowest polymorph of the same formula**: 46.2 meV per atom
**E_form**: 0.2696 eV per atom

Lattice parameters (Å, degrees): 19.7658 19.7658 6.2776 90.00 90.00 120.00
Space group R-3 (No. 148, hexagonal axes)
One atom of each set of equivalent atoms:
1 Pr 0.0004 0.4117 0.0020
2 Pr 0.0984 0.5502 0.4464
3 Tm 0.0000 0.0000 0.0000
4 Tm 0.0808 0.9174 0.2717
5 Th 0.0000 0.0000 0.5000


This record from Alexandria describes a relaxed structure of Ge2Pd3Rh. The functional is PBE.

Results
**M_tot**: 0.0 μB/f.u.
**E_form**: -0.4711 eV per atom

Lattice parameters (Å, degrees): 5.4377 12.7937 5.4528 90.00 90.00 90.00
Space group Ibam (No. 72)
One atom of each set of equivalent atoms:
1 Ge 0.2327 0.1254 0.0000
2 Pd 0.0000 0.5000 0.2500
3 Pd 0.2369 0.3153 0.0000
4 Rh 0.0000 0.0000 0.2500


- Look up the M_tot of the seventh one.
  0.0 μB/f.u.


- Look up the M_tot of the sixth one.
  0.8 μB/f.u.


- Among the records above, which one has the highest M_tot?
  LiHo2Pu